# 1
Density functional theory data (PBE) for Li7MgTl2 after structural relaxation.

abc: 4.7778 4.7778 10.0289
angles: 90.00 90.00 120.00
Atoms (fractional coordinates):
Tl: 0.6667 0.3333 0.3303
Tl: 0.3333 0.6667 0.7292
Li: 0.0000 0.0000 0.5118
Li: 0.6667 0.3333 0.0175
Li: 0.3333 0.6667 0.9906
Mg: 0.0000 0.0000 0.8496
Li: 0.3333 0.6667 0.4687
Li: 0.0000 0.0000 0.1949
Li: 0.6667 0.3333 0.6563
Li: 0.3333 0.6667 0.2345

Computed properties:
energy above the lowest structure with this stoichiometry	0	kJ/mol of formula units
space group	P3m1 (156)
VASP energy	-20.82	eV/cell
formation energy from the elements	-1.09	eV/f.u.


# 2
Density functional theory data (PBE) for Li2Mg5Tl after structural relaxation.

abc: 7.5892 7.5892 8.1522
angles: 117.74 117.74 90.00
Atoms (fractional coordinates):
Mg: 0.4945 0.6970 0.6915
Mg: 0.1970 0.9945 0.6915
Mg: 0.5055 0.3030 0.3085
Mg: 0.0000 0.0000 0.0000
Li: 0.6392 0.1392 0.0000
Tl: 0.2500 0.2500 0.5000
Mg: 0.0055 0.5055 0.3085
Mg: 0.6970 0.1970 0.6915
Mg: 0.5000 0.5000 0.0000
Li: 0.8608 0.6392 0.0000
Li: 0.3608 0.8608 0.0000
Mg: 0.3030 0.8030 0.3085
Mg: 0.9945 0.4945 0.6915
Mg: 0.8030 0.0055 0.3085
Tl: 0.7500 0.7500 0.5000
Li: 0.1392 0.3608 0.0000

Computed properties:
energy above the lowest structure with this stoichiometry	46	kJ/mol of formula units
space group	I4/mcm (140)
VASP energy	-28.39	eV/cell
formation energy from the elements	-0.03	eV/f.u.


# 3
Density functional theory data (PBE) for Li3Mg2Tl2 after structural relaxation.

abc: 3.1211 4.8386 10.2633
angles: 103.91 90.00 90.00
Atoms (fractional coordinates):
Li: 0.0000 0.2816 0.5626
Mg: 0.0000 0.4225 0.8469
Tl: 0.5000 0.1490 0.2947
Li: 0.0000 0.7184 0.4374
Li: 0.0000 0.0000 0.0000
Tl: 0.5000 0.8510 0.7053
Mg: 0.0000 0.5775 0.1531

Computed properties:
energy above the lowest structure with this stoichiometry	49	kJ/mol of formula units
space group	P2/m (10)
VASP energy	-14.16	eV/cell
formation energy from the elements	-0.49	eV/f.u.


# 4
Density functional theory data (PBE) for LiMgTl after structural relaxation.

abc: 5.6907 3.2059 8.4303
angles: 100.96 109.73 90.00
Atoms (fractional coordinates):
Tl: 0.1643 0.6643 0.3287
Li: 0.2551 0.5000 0.0000
Mg: 0.3560 0.8560 0.7121
Tl: 0.8357 0.3357 0.6713
Li: 0.7449 0.5000 0.0000
Mg: 0.6440 0.1440 0.2879

Computed properties:
energy above the lowest structure with this stoichiometry	47	kJ/mol of formula units
space group	Immm (71)
VASP energy	-11.86	eV/cell
formation energy from the elements	-0.06	eV/f.u.


# 5
Density functional theory data (PBE) for Li3Mg2Tl2 after structural relaxation.

abc: 4.8408 5.0128 7.4411
angles: 107.00 90.00 118.87
Atoms (fractional coordinates):
Tl: 0.7758 0.5517 0.8293
Li: 0.5000 0.0000 0.0000
Li: 0.3578 0.7156 0.5718
Mg: 0.9288 0.8576 0.2768
Mg: 0.0712 0.1424 0.7232
Tl: 0.2242 0.4483 0.1707
Li: 0.6422 0.2844 0.4282

Computed properties:
energy above the lowest structure with this stoichiometry	0	kJ/mol of formula units
space group	C2/m (12)
VASP energy	-14.67	eV/cell
formation energy from the elements	-1.01	eV/f.u.


# 6
Density functional theory data (PBE) for Li9Mg2Tl after structural relaxation.

abc: 4.2456 4.2456 13.1265
angles: 90.00 90.00 90.00
Atoms (fractional coordinates):
Li: 0.5000 0.5000 0.6691
Mg: 0.0000 0.0000 0.3320
Mg: 0.0000 0.0000 0.6680
Li: 0.0000 0.5000 0.1615
Li: 0.5000 0.0000 0.5000
Li: 0.5000 0.0000 0.8385
Li: 0.5000 0.5000 0.3309
Tl: 0.0000 0.0000 0.0000
Li: 0.0000 0.5000 0.8385
Li: 0.5000 0.0000 0.1615
Li: 0.0000 0.5000 0.5000
Li: 0.5000 0.5000 0.0000

Computed properties:
space group	P4/mmm (123)
VASP energy	-23.80	eV/cell
formation energy from the elements	-1.02	eV/f.u.


# 7
Density functional theory data (PBE) for LiMg3Tl2 after structural relaxation.

abc: 4.4493 8.5899 9.2649
angles: 124.24 90.00 105.01
Atoms (fractional coordinates):
Tl: 0.5739 0.1479 0.2211
Li: 0.0812 0.1624 0.9602
Tl: 0.7446 0.4891 0.1317
Li: 0.9188 0.8376 0.0398
Mg: 0.4094 0.8188 0.2868
Mg: 0.7591 0.5181 0.6303
Mg: 0.9200 0.8400 0.5405
Mg: 0.0800 0.1600 0.4595
Mg: 0.2409 0.4819 0.3697
Mg: 0.5906 0.1812 0.7132
Tl: 0.2554 0.5109 0.8683
Tl: 0.4261 0.8521 0.7789

Computed properties:
energy above the lowest structure with this stoichiometry	0	kJ/mol of formula units
space group	C2/m (12)
VASP energy	-23.90	eV/cell
formation energy from the elements	-0.52	eV/f.u.


# 8
Density functional theory data (PBE) for Li3MgTl after structural relaxation.

abc: 3.0121 4.8873 15.0226
angles: 108.88 90.00 90.00
Atoms (fractional coordinates):
Mg: 0.5000 0.4908 0.2358
Li: 0.5000 0.2941 0.5396
Li: 0.0000 0.6896 0.9355
Tl: 0.0000 0.1035 0.3484
Li: 0.5000 0.6986 0.4429
Li: 0.5000 0.1049 0.8520
Tl: 0.0000 0.8879 0.6342
Li: 0.5000 0.8862 0.1309
Li: 0.0000 0.3016 0.0472
Mg: 0.5000 0.4995 0.7468

Computed properties:
energy above the lowest structure with this stoichiometry	15	kJ/mol of formula units
space group	Pm (6)
VASP energy	-20.05	eV/cell
formation energy from the elements	-0.32	eV/f.u.


# 9
Density functional theory data (PBE) for Li6MgTl after structural relaxation.

abc: 4.7167 5.8486 5.8486
angles: 108.24 90.00 90.00
Atoms (fractional coordinates):
Li: 0.5000 0.3963 0.1348
Li: 0.0000 0.5954 0.4046
Li: 0.0000 0.6351 0.8937
Li: 0.5000 0.8922 0.1078
Li: 0.0000 0.1063 0.3649
Tl: 0.5000 0.3727 0.6273
Li: 0.5000 0.8652 0.6037
Mg: 0.0000 0.1365 0.8635

Computed properties:
energy above the lowest structure with this stoichiometry	0	kJ/mol of formula units
space group	Amm2 (38)
VASP energy	-16.43	eV/cell
formation energy from the elements	-0.98	eV/f.u.


# 10
Density functional theory data (PBE) for Li2MgTl7 after structural relaxation.

abc: 5.0584 5.0584 12.3282
angles: 90.00 90.00 120.00
Atoms (fractional coordinates):
Tl: 0.6667 0.3333 0.1291
Tl: 0.3333 0.6667 0.9739
Li: 0.6667 0.3333 0.3516
Tl: 0.6667 0.3333 0.8445
Tl: 0.6667 0.3333 0.5733
Tl: 0.3333 0.6667 0.4330
Tl: 0.0000 0.0000 0.6926
Li: 0.3333 0.6667 0.7132
Tl: 0.0000 0.0000 0.2882
Mg: 0.0000 0.0000 0.0172

Computed properties:
space group	P3m1 (156)
VASP energy	-22.08	eV/cell
formation energy from the elements	-0.09	eV/f.u.


# 11
Density functional theory data (PBE) for Li10Mg2Tl after structural relaxation.

abc: 5.6989 7.6540 7.3541
angles: 81.71 67.20 68.14
Atoms (fractional coordinates):
Mg: 0.0000 0.5000 0.0000
Li: 0.9955 0.6526 0.3565
Li: 0.6480 0.3474 0.3565
Li: 0.4989 0.7998 0.2024
Li: 0.5011 0.2002 0.7976
Li: 0.2987 0.2002 0.2024
Li: 0.3520 0.6526 0.6435
Li: 0.5000 0.0000 0.5000
Li: 0.7013 0.7998 0.7976
Li: 0.0045 0.3474 0.6435
Tl: 0.0000 0.0000 0.0000
Mg: 0.5000 0.5000 0.0000
Li: 0.0000 0.0000 0.5000

Computed properties:
space group	Fmmm (69)
VASP energy	-24.43	eV/cell
formation energy from the elements	0.26	eV/f.u.


# 12
Density functional theory data (PBE) for Li2Mg6Tl3 after structural relaxation.

abc: 6.9191 5.5607 13.3267
angles: 62.07 54.86 104.76
Atoms (fractional coordinates):
Mg: 0.4881 0.1015 0.2059
Li: 0.5074 0.7165 0.0571
Mg: 0.7204 0.6795 0.5751
Li: 0.4926 0.2835 0.9429
Tl: 0.9067 0.1326 0.2365
Mg: 0.5119 0.8985 0.7941
Mg: 0.2796 0.3205 0.4249
Tl: 0.0000 0.0000 0.0000
Mg: 0.8483 0.4306 0.3865
Mg: 0.1517 0.5694 0.6135
Tl: 0.0933 0.8674 0.7635

Computed properties:
energy above the lowest structure with this stoichiometry	0	kJ/mol of formula units
space group	P-1 (2)
VASP energy	-20.98	eV/cell
formation energy from the elements	-0.49	eV/f.u.


# 13
Density functional theory data (PBE) for Li5Mg3Tl after structural relaxation.

abc: 5.8110 5.8110 12.9301
angles: 77.24 77.24 70.22
Atoms (fractional coordinates):
Li: 0.1093 0.5977 0.6745
Li: 0.5977 0.1093 0.6745
Li: 0.2861 0.2861 0.8791
Tl: 0.9079 0.9079 0.2715
Mg: 0.0000 0.0000 0.0000
Li: 0.4023 0.8907 0.3255
Li: 0.4240 0.4240 0.2380
Li: 0.8907 0.4023 0.3255
Tl: 0.0921 0.0921 0.7285
Mg: 0.0000 0.0000 0.5000
Mg: 0.6612 0.6612 0.5246
Mg: 0.2153 0.2153 0.1172
Li: 0.7139 0.7139 0.1209
Mg: 0.7847 0.7847 0.8828
Mg: 0.3388 0.3388 0.4754
Li: 0.6591 0.3409 0.0000
Li: 0.3409 0.6591 0.0000
Li: 0.5760 0.5760 0.7620

Computed properties:
space group	C2/m (12)
VASP energy	-31.94	eV/cell
formation energy from the elements	0.75	eV/f.u.


# 14
Density functional theory data (PBE) for Li15Mg4Tl after structural relaxation.

abc: 4.2590 4.2590 21.8553
angles: 90.00 90.00 90.00
Atoms (fractional coordinates):
Li: 0.5000 0.5000 0.1964
Mg: 0.0000 0.0000 0.6011
Li: 0.0000 0.5000 0.5000
Mg: 0.0000 0.0000 0.8041
Li: 0.5000 0.0000 0.7028
Li: 0.5000 0.5000 0.6017
Li: 0.0000 0.5000 0.0951
Tl: 0.0000 0.0000 0.0000
Li: 0.5000 0.0000 0.0951
Li: 0.5000 0.5000 0.8036
Mg: 0.0000 0.0000 0.3989
Li: 0.0000 0.5000 0.9049
Mg: 0.0000 0.0000 0.1959
Li: 0.5000 0.0000 0.9049
Li: 0.5000 0.0000 0.5000
Li: 0.0000 0.5000 0.2972
Li: 0.5000 0.0000 0.2972
Li: 0.5000 0.5000 0.3983
Li: 0.5000 0.5000 0.0000
Li: 0.0000 0.5000 0.7028

Computed properties:
space group	P4/mmm (123)
VASP energy	-38.65	eV/cell
formation energy from the elements	-1.20	eV/f.u.


# 15
Density functional theory data (PBE) for LiMg5Tl4 after structural relaxation.

abc: 6.2112 7.1240 7.1240
angles: 79.04 64.16 64.16
Atoms (fractional coordinates):
Mg: 0.8528 0.3532 0.8543
Tl: 0.5163 0.6223 0.2424
Tl: 0.1386 0.2424 0.3777
Mg: 0.2061 0.8543 0.6468
Mg: 0.0604 0.6468 0.1457
Tl: 0.3810 0.3777 0.7576
Mg: 0.7072 0.1457 0.3532
Tl: 0.7587 0.7576 0.6223
Li: 0.2162 0.0000 0.0000
Mg: 0.6730 0.0000 0.0000

Computed properties:
energy above the lowest structure with this stoichiometry	114	kJ/mol of formula units
space group	I4 (79)
VASP energy	-18.83	eV/cell
formation energy from the elements	0.52	eV/f.u.


# 16
Density functional theory data (PBE) for LiMgTl3 after structural relaxation.

abc: 5.1335 5.1097 9.7484
angles: 90.02 101.48 90.00
Atoms (fractional coordinates):
Tl: 0.4524 0.8444 0.1886
Tl: 0.9558 0.3443 0.1870
Mg: 0.6627 0.8445 0.6236
Li: 0.1915 0.3442 0.6272
Tl: 0.7789 0.3446 0.8065
Tl: 0.5732 0.3445 0.4258
Li: 0.8346 0.8446 0.9871
Tl: 0.0695 0.8443 0.4274
Mg: 0.3632 0.3443 0.9918
Tl: 0.2466 0.8443 0.8079

Computed properties:
energy above the lowest structure with this stoichiometry	0	kJ/mol of formula units
space group	Pm (6)
VASP energy	-22.04	eV/cell
formation energy from the elements	-0.41	eV/f.u.


# 17
Density functional theory data (PBE) for Li6Mg5Tl2 after structural relaxation.

abc: 8.3235 8.3235 8.1928
angles: 59.47 59.47 60.00
Atoms (fractional coordinates):
Mg: 0.5768 0.5768 0.2696
Li: 0.8364 0.1636 0.5000
Li: 0.8364 0.5000 0.5000
Li: 0.1636 0.8364 0.5000
Li: 0.5000 0.1636 0.5000
Mg: 0.0000 0.0000 0.0000
Mg: 0.7235 0.7235 0.8296
Tl: 0.8625 0.8625 0.4126
Li: 0.1636 0.5000 0.5000
Tl: 0.1375 0.1375 0.5874
Mg: 0.4232 0.4232 0.7304
Li: 0.5000 0.8364 0.5000
Mg: 0.2765 0.2765 0.1704

Computed properties:
space group	R-3m (166)
VASP energy	-20.97	eV/cell
formation energy from the elements	3.22	eV/f.u.


# 18
Density functional theory data (PBE) for LiMgTl4 after structural relaxation.

abc: 3.5168 6.6972 8.4793
angles: 118.11 78.03 74.78
Atoms (fractional coordinates):
Tl: 0.3357 0.0073 0.3212
Tl: 0.8232 0.5237 0.8299
Mg: 0.5000 0.5000 0.5000
Tl: 0.1768 0.4763 0.1701
Tl: 0.6643 0.9927 0.6788
Li: 0.0000 0.0000 0.0000

Computed properties:
energy above the lowest structure with this stoichiometry	0	kJ/mol of formula units
space group	C2/m (12)
VASP energy	-13.31	eV/cell
formation energy from the elements	-0.33	eV/f.u.


# 19
Density functional theory data (PBE) for Li12Mg6Tl after structural relaxation.

abc: 7.5105 7.5105 7.5105
angles: 100.88 100.88 100.88
Atoms (fractional coordinates):
Mg: 0.1558 0.1559 0.4254
Mg: 0.5746 0.8442 0.8441
Mg: 0.8441 0.5746 0.8442
Li: 0.0003 0.7462 0.2540
Li: 0.7462 0.2540 0.0003
Li: 0.5901 0.1820 0.5904
Li: 0.5904 0.5901 0.1820
Li: 0.8180 0.4096 0.4099
Mg: 0.4254 0.1558 0.1559
Li: 0.1820 0.5904 0.5901
Tl: 0.0000 0.0000 0.0000
Li: 0.2540 0.0003 0.7462
Li: 0.2538 0.7460 0.9997
Mg: 0.1559 0.4254 0.1558
Mg: 0.8442 0.8441 0.5746
Li: 0.4099 0.8180 0.4096
Li: 0.9997 0.2538 0.7460
Li: 0.4096 0.4099 0.8180
Li: 0.7460 0.9997 0.2538

Computed properties:
energy above the lowest structure with this stoichiometry	0	kJ/mol of formula units
space group	R-3m (166)
VASP energy	-35.40	eV/cell
formation energy from the elements	-0.50	eV/f.u.


# 20
Density functional theory data (PBE) for Li8MgTl2 after structural relaxation.

abc: 4.8721 7.4770 7.2939
angles: 119.72 109.51 90.00
Atoms (fractional coordinates):
Tl: 0.2236 0.6587 0.4471
Li: 0.6017 0.4618 0.2033
Li: 0.3163 0.1008 0.6326
Li: 0.8571 0.7945 0.7142
Li: 0.9608 0.2739 0.9216
Li: 0.6837 0.8992 0.3674
Li: 0.0392 0.7261 0.0784
Li: 0.3983 0.5382 0.7967
Mg: 0.5000 0.0000 0.0000
Li: 0.1429 0.2055 0.2858
Tl: 0.7764 0.3413 0.5529

Computed properties:
energy above the lowest structure with this stoichiometry	0	kJ/mol of formula units
space group	C2/m (12)
VASP energy	-23.25	eV/cell
formation energy from the elements	-1.62	eV/f.u.